Entry 1:
VASP calculation (PBE) on a relaxed DyTm2AlAu4 crystal.

POSCAR file:
```
DyTm2AlAu4
1.0
4.900 0.000 0.000
2.450 4.243 0.000
2.450 1.414 8.185
Au Tm Al Dy
4 2 1 1
direct
0.616 0.616 0.152
0.384 0.384 0.848
0.122 0.122 0.633
0.878 0.878 0.367
0.243 0.243 0.270
0.757 0.757 0.730
0.500 0.500 0.500
0.000 0.000 0.000
```

Values from the calculation:
The density of states at the Fermi level comes out at 3.159 states/eV per cell. For the total energy, the calculation gives -36.60 eV/cell.

---

Entry 2:
VASP calculation (PBE) on a relaxed DyTmAlAu crystal.

POSCAR file:
```
DyTmAlAu
1.0
-2.492 -2.509 0.004
0.800 -0.800 -3.350
4.972 -4.934 2.365
Au Dy Al Tm
1 1 1 1
direct
0.500 0.500 0.619
0.000 0.000 0.361
0.500 0.500 0.101
0.000 0.000 0.847
```

Values from the calculation:
The density of states at the Fermi level comes out at 1.618 states/eV per cell. For the total energy, the calculation gives -18.61 eV/cell.

---

Entry 3:
VASP calculation (PBE) on a relaxed DyTmAlAu crystal.

POSCAR file:
```
DyTmAlAu
1.0
-1.989 1.384 4.483
2.634 -0.751 4.297
1.938 3.977 2.528
Al Tm Dy Au
1 1 1 1
direct
0.500 0.500 0.500
0.250 0.250 0.250
0.750 0.750 0.750
0.000 0.000 0.000
```

Values from the calculation:
The density of states at the Fermi level comes out at 2.289 states/eV per cell. For the total energy, the calculation gives -18.40 eV/cell.

---

Entry 4:
VASP calculation (PBE) on a relaxed DyYAlAu crystal.

POSCAR file:
```
DyYAlAu
1.0
3.561 0.000 0.000
0.000 3.561 0.000
0.000 0.000 7.461
Y Al Dy Au
1 1 1 1
direct
0.000 0.000 0.362
0.500 0.500 0.106
0.000 0.000 0.849
0.500 0.500 0.610
```

Values from the calculation:
The density of states at the Fermi level comes out at 1.867 states/eV per cell. For the total energy, the calculation gives -20.59 eV/cell.

---

Entry 5:
VASP calculation (PBE) on a relaxed DyYAlAu crystal.

POSCAR file:
```
DyYAlAu
1.0
-2.089 1.414 -4.474
-5.024 1.029 -0.277
-1.598 4.834 -0.674
Y Dy Al Au
1 1 1 1
direct
0.750 0.750 0.750
0.250 0.250 0.250
0.500 0.500 0.500
0.000 0.000 0.000
```

Values from the calculation:
The density of states at the Fermi level comes out at 2.666 states/eV per cell. For the total energy, the calculation gives -20.40 eV/cell.

---

Entry 6:
VASP calculation (PBE) on a relaxed Dy4AlZn2Au crystal.

POSCAR file:
```
Dy4AlZn2Au
1.0
5.068 0.000 0.000
2.534 4.389 0.000
2.534 1.463 8.297
Dy Zn Al Au
4 2 1 1
direct
0.376 0.376 0.872
0.624 0.624 0.128
0.126 0.126 0.623
0.874 0.874 0.377
0.746 0.746 0.763
0.254 0.254 0.237
0.000 0.000 0.000
0.500 0.500 0.500
```

Values from the calculation:
The density of states at the Fermi level comes out at 4.733 states/eV per cell. For the total energy, the calculation gives -31.90 eV/cell.

---

Entry 7:
VASP calculation (PBE) on a relaxed Dy2Al4Zn3Au crystal.

POSCAR file:
```
Dy2Al4Zn3Au
1.0
4.173 0.000 0.000
0.000 4.173 0.000
0.000 0.000 10.808
Zn Al Dy Au
3 4 2 1
direct
0.000 0.500 0.139
0.500 0.000 0.861
0.000 0.000 0.500
0.500 0.500 0.000
0.500 0.000 0.637
0.000 0.500 0.363
0.000 0.000 0.000
0.000 0.500 0.754
0.500 0.000 0.246
0.500 0.500 0.500
```

Values from the calculation:
The density of states at the Fermi level comes out at 3.498 states/eV per cell. For the total energy, the calculation gives -35.75 eV/cell.

---

Entry 8:
VASP calculation (PBE) on a relaxed DyAl2ZnAu2 crystal.

POSCAR file:
```
DyAl2ZnAu2
1.0
-2.216 -1.368 -3.563
4.298 0.954 -0.306
1.526 -6.389 1.503
Dy Au Al Zn
1 2 2 1
direct
0.000 0.000 0.000
0.333 0.667 0.726
0.667 0.333 0.274
0.333 0.667 0.305
0.667 0.333 0.695
0.000 0.000 0.500
```

Values from the calculation:
The density of states at the Fermi level comes out at 2.009 states/eV per cell. For the total energy, the calculation gives -23.16 eV/cell.